Entry 1:
Below is a relaxed structure of Lu2RhPb, with properties calculated at the PBE-GGA level.

abc: 4.850 4.850 3.850
angles: 90.00 90.00 90.00
Sites, in units of the cell vectors:
Lu (0.000, 0.500, 0.000)
Lu (0.500, 0.000, 0.000)
Rh (0.000, 0.000, 0.500)
Pb (0.500, 0.500, 0.500)

Results
For the energy above the lowest structure with this stoichiometry, the calculation gives 0.166 eV per atom. As for the total energy: -5.5749 eV/atom. The formation enthalpy at 0 K is -2.20 eV per formula unit.

***

Entry 2:
Below is a relaxed structure of Lu2RhPb, with properties calculated at the PBE-GGA level.

abc: 8.842 8.842 8.842
angles: 24.20 24.20 24.20
Sites, in units of the cell vectors:
Lu (0.231, 0.231, 0.231)
Lu (0.769, 0.769, 0.769)
Rh (0.500, 0.500, 0.500)
Pb (0.000, 0.000, 0.000)

Results
For the energy above the lowest structure with this stoichiometry, the calculation gives 0.136 eV per atom. As for the total energy: -5.6045 eV/atom. The formation enthalpy at 0 K is -2.32 eV per formula unit.

***

Entry 3:
Below is a relaxed structure of LuRh4Pb, with properties calculated at the PBE-GGA level.

abc: 5.302 5.302 5.302
angles: 60.00 60.00 60.00
Sites, in units of the cell vectors:
Lu (0.000, 0.000, 0.000)
Rh (0.375, 0.375, 0.375)
Rh (0.375, 0.375, 0.874)
Rh (0.375, 0.874, 0.375)
Rh (0.874, 0.375, 0.375)
Pb (0.750, 0.750, 0.750)

Results
As for the total energy: -6.6578 eV/atom. The formation enthalpy at 0 K is -2.31 eV per formula unit.